Computed, not measured: Ca2InHPb after structural relaxation at the GGA-PBE level of DFT.

Output
Density of states at the Fermi level in states/eV/atom: 0.315
Volume in Å³ per atom: 23.5
E_tot in eV/cell: -15.7
ΔE to the lowest computed polymorph in meV per atom: 0

a = 4.9814 Å, b = 4.9814 Å, c = 4.7335 Å
α = 90.00°, β = 90.00°, γ = 90.00°
Closest atoms and distances in Å follow each position.
Sites, in units of the cell vectors:
Ca  0.5000  0.0000  0.0000  2 H 2.49
Ca  0.0000  0.5000  0.0000  2 H 2.49
Pb  0.5000  0.5000  0.5000  8 Ca 3.44, 4 In 3.52
In  0.0000  0.0000  0.5000  2 H 2.37
H  0.0000  0.0000  0.0000  2 In 2.37, 4 Ca 2.49